[1]
A geometry-optimized PmYHo2 structure, computed with PBE.

Geometry as extended XYZ:
```
4
Lattice="3.571 0.000 0.000 1.786 3.093 0.000 1.786 1.031 11.618" Properties=species:S:1:pos:R:3 pbc="T T T"
Pm 0.000 0.000 0.000
Ho 5.357 3.093 8.692
Ho 1.786 1.031 2.927
Y 3.571 2.062 5.809
```

Computed properties:
* D(E_F): 5.75 states/eV/f.u.
* size of the total moment: 0.000 μB/f.u.
* final energy: -5.072 eV/atom
* calculated formation energy: 20.7 meV/atom

---

[2]
A geometry-optimized PmY5Ho12 structure, computed with PBE.

Geometry as extended XYZ:
```
18
Lattice="15.028 0.000 -0.018 7.514 7.527 -0.009 0.006 0.000 5.010" Properties=species:S:1:pos:R:3 pbc="T T T"
Ho 17.550 5.022 2.484
Ho 4.999 0.000 5.004
Ho 2.528 0.000 2.502
Ho 2.525 2.514 -0.003
Ho 12.506 0.000 2.490
Ho 12.512 5.022 2.490
Ho 4.998 2.505 2.499
Ho 10.035 0.000 -0.012
Ho 20.023 5.013 4.986
Ho 10.039 5.013 -0.012
Ho 10.036 2.505 2.493
Ho 12.509 2.514 4.995
Y 7.517 0.000 2.496
Y 7.517 5.010 2.496
Y 15.028 5.023 -0.018
Y 7.514 2.504 -0.009
Y 15.031 2.517 2.487
Pm 0.000 0.000 0.000
```

Computed properties:
* D(E_F): 25.37 states/eV/f.u.
* size of the total moment: 0.000 μB/f.u.
* final energy: -5.088 eV/atom
* calculated formation energy: 22.9 meV/atom

---

[3]
A geometry-optimized Pm2YHo5 structure, computed with PBE.

Geometry as extended XYZ:
```
16
Lattice="8.092 3.691 0.004 3.803 7.801 0.004 0.005 0.003 10.666" Properties=species:S:1:pos:R:3 pbc="T T T"
Ho 6.001 8.671 0.897
Ho 5.899 2.824 9.777
Ho 7.663 5.562 6.273
Ho 4.666 6.414 8.002
Ho 4.237 5.933 4.401
Ho 7.667 5.561 9.736
Ho 7.235 5.082 2.673
Ho 5.898 2.824 6.225
Ho 4.233 5.934 0.938
Ho 6.002 8.672 4.450
Y 7.596 8.474 8.007
Y 4.305 3.022 2.667
Pm 2.815 3.625 6.464
Pm 9.085 7.871 4.210
Pm 2.818 3.628 9.539
Pm 9.083 7.868 1.135
```

Computed properties:
* D(E_F): 11.92 states/eV/f.u.
* size of the total moment: 0.000 μB/f.u.
* final energy: -4.674 eV/atom
* calculated formation energy: 182.4 meV/atom

---

[4]
A geometry-optimized Pm2Y5Ho12 structure, computed with PBE.

Geometry as extended XYZ:
```
19
Lattice="-2.987 0.636 5.487 0.280 -9.015 0.861 9.817 9.174 3.018" Properties=species:S:1:pos:R:3 pbc="T T T"
Ho 9.315 1.704 3.958
Ho 8.138 6.467 5.281
Ho 0.714 -2.801 4.831
Ho 2.356 3.307 3.962
Ho 6.396 3.597 4.535
Ho 4.753 -2.512 5.404
Ho -0.238 2.137 6.312
Ho 7.348 -1.341 3.054
Ho -1.028 -5.671 4.085
Ho 4.108 2.449 6.884
Ho -2.206 -0.909 5.408
Ho 3.001 -1.654 2.482
Y 4.908 4.587 1.509
Y 2.343 -0.026 5.751
Y 4.766 0.821 3.615
Y 5.767 5.303 7.632
Y 1.342 -4.507 1.734
Pm 0.232 0.245 3.099
Pm 6.878 0.550 6.267
```

Computed properties:
* D(E_F): 31.17 states/eV/f.u.
* size of the total moment: 0.000 μB/f.u.
* final energy: -5.026 eV/atom
* calculated formation energy: 66.9 meV/atom

---

[5]
A geometry-optimized Pm4YHo10 structure, computed with PBE.

Geometry as extended XYZ:
```
15
Lattice="7.022 0.000 3.171 3.511 8.629 1.585 -0.040 0.000 9.449" Properties=species:S:1:pos:R:3 pbc="T T T"
Ho 2.068 2.584 9.448
Ho 7.001 4.314 7.895
Ho 3.491 4.314 6.310
Ho 8.424 6.045 4.757
Ho 4.207 0.869 4.735
Ho 0.688 0.869 3.145
Ho 9.805 7.760 11.060
Ho 5.588 2.584 11.038
Ho 4.904 6.045 3.168
Ho 6.285 7.760 9.470
Pm 7.687 5.180 11.057
Pm 5.602 6.914 6.313
Pm 4.890 1.715 7.892
Pm 2.805 3.448 3.148
Y 0.000 0.000 0.000
```

Computed properties:
* D(E_F): 22.32 states/eV/f.u.
* size of the total moment: 0.000 μB/f.u.
* final energy: -3.989 eV/atom
* calculated formation energy: 760.6 meV/atom

---

[6]
A geometry-optimized Pm4Y11Ho9 structure, computed with PBE.

Geometry as extended XYZ:
```
24
Lattice="-2.337 2.425 1.093 -7.607 -1.669 -12.561 -7.836 -10.582 6.712" Properties=species:S:1:pos:R:3 pbc="T T T"
Y -3.844 -4.518 1.802
Y -7.686 -4.714 -5.976
Y -11.600 -7.733 -7.651
Y -3.724 -2.954 -1.410
Y -7.646 -3.179 -9.296
Y -11.720 -9.297 -4.439
Y -11.677 -10.732 -1.165
Y -7.758 -7.536 0.127
Y -7.798 -9.072 3.447
Y -3.766 -1.518 -4.684
Y 0.000 0.000 0.000
Pm -6.830 -4.024 0.055
Pm -10.990 -7.323 -1.520
Pm -10.951 -5.802 -4.810
Pm -6.791 -2.502 -3.235
Ho -3.020 0.486 -1.799
Ho -10.857 -8.631 1.664
Ho -10.744 -4.224 -7.866
Ho -6.924 -1.195 -6.419
Ho -8.891 -4.913 -2.378
Ho -14.723 -8.798 -6.231
Ho -3.058 -1.028 1.475
Ho -7.038 -5.602 3.110
Ho -14.762 -10.312 -2.957
```

Computed properties:
* D(E_F): 35.73 states/eV/f.u.
* size of the total moment: 0.000 μB/f.u.
* final energy: -5.415 eV/atom
* calculated formation energy: 55.7 meV/atom